# ZrMo2As

A relaxed ZrMo2As crystal (PBE, Alexandria via LeMat-Bulk).

- calculated total energy (eV for the cell shown) = -35.376
- space-group type = C2/m
- Fermi-level density of states (states/eV/atom) = 0.6557

Geometry as POSCAR:
```
ZrMo2As
1.0
4.991 0.000 0.001
3.879 3.140 0.001
1.221 0.432 4.423
Mo As Zr
2 1 1
direct
0.987 0.987 0.041
0.513 0.513 0.459
0.250 0.250 0.250
0.750 0.750 0.750
```